An optimized crystal structure of RbHfC2I, computed with PBEsol.

Computed properties:
* formation energy (no corrections): 15.72 eV/f.u.
* total energy: -0.2479 Ry/atom

Structure (extended XYZ):
```
5
Lattice="-1.697 -3.382 2.224 -1.848 -1.498 -3.688 4.760 -3.123 -1.117" Properties=species:S:1:pos:R:3 pbc="T T T"
I 2.380 -1.561 -0.558
C -0.924 -0.749 -1.844
C -0.848 -1.691 1.112
Hf 0.607 -4.001 -1.291
Rb 0.000 0.000 0.000
```